# 1
ZnBrCl2 | GGA-PBE | optimized geometry

Symmetry: Pm, No. 6
Uncorrected formation energy: -2.16 eV/f.u.
Relative energy among the computed polymorphs: 0.291 eV per formula unit

a = 5.505 Å, b = 3.499 Å, c = 6.981 Å
α = 90.00°, β = 90.81°, γ = 90.00°
Fractional coordinates of all 4 atoms:
Zn 0.000 0.000 0.000
Br 0.254 0.500 0.777
Cl 0.724 0.000 0.755
Cl 0.970 0.500 0.216

# 2
ZnBrCl2 | GGA-PBE | optimized geometry

Symmetry: C2/m, No. 12
Uncorrected formation energy: -2.19 eV/f.u.
Relative energy among the computed polymorphs: 0.270 eV per formula unit

a = 7.018 Å, b = 7.018 Å, c = 7.384 Å
α = 119.83°, β = 119.83°, γ = 25.76°
Fractional coordinates of all 4 atoms:
Zn 0.000 0.000 0.000
Br 0.500 0.500 0.500
Cl 0.356 0.356 0.863
Cl 0.644 0.644 0.137